<P>
Compound: ZrIrOF2
Source: Alexandria
Functional: PBE-GGA
Structure: relaxed

POSCAR file:
```
ZrIrOF2
1.0
4.2468 0.0000 0.0000
0.0000 4.2468 0.0000
0.0000 0.0000 4.1437
Zr Ir O F
1 1 1 2
Cartesian
0.0000 0.0000 0.0000 Zr
2.1234 2.1234 2.0718 Ir
0.0000 0.0000 2.0718 O
0.0000 2.1234 0.0000 F
2.1234 0.0000 0.0000 F
```

Values from the calculation:
Total magnetic moment: 0.31 μB/atom
Calculated volume: 75 Å³ per cell


<Q>
Compound: ZrIrOF2
Source: Alexandria
Functional: PBE-GGA
Structure: relaxed

POSCAR file:
```
ZrIrOF2
1.0
4.6012 0.0000 0.0000
0.0000 4.6012 0.0000
0.0000 0.0000 3.6717
Zr Ir O F
1 1 1 2
Cartesian
0.0000 0.0000 0.0000 Zr
2.3006 2.3006 1.8358 Ir
2.3006 2.3006 0.0000 O
0.0000 2.3006 1.8358 F
2.3006 0.0000 1.8358 F
```

Values from the calculation:
Total magnetic moment: 0.20 μB/atom
Calculated volume: 78 Å³ per cell


Ordering by calculated energy gives the sequence <P>, <Q>, with the first entry being the most stable.


<P>
Compound: Ir2OsF
Source: Alexandria
Functional: PBE-GGA
Structure: relaxed

POSCAR file:
```
Ir2OsF
1.0
-3.2653 3.2653 2.8215
3.2653 -3.2653 2.8215
3.2653 3.2653 -2.8215
Ir Os F
4 2 2
Cartesian
1.6326 1.6043 -0.7054 Ir
1.6610 -1.6326 3.5268 Ir
1.6326 1.6610 2.1161 Ir
1.6043 4.8979 0.7054 Ir
3.2653 0.0000 1.4107 Os
0.0000 0.0000 2.8215 Os
0.0000 0.0000 0.0000 F
0.0000 3.2653 1.4107 F
```

Values from the calculation:
Total magnetic moment: 0.18 μB/atom
Calculated volume: 120 Å³ per cell


<Q>
Compound: Ir2OsF
Source: Alexandria
Functional: PBE-GGA
Structure: relaxed

POSCAR file:
```
Ir2OsF
1.0
0.0000 3.0187 3.0187
3.0187 0.0000 3.0187
3.0187 3.0187 0.0000
Ir Os F
2 1 1
Cartesian
1.5094 1.5094 1.5094 Ir
4.5281 4.5281 4.5281 Ir
0.0000 0.0000 0.0000 Os
3.0187 3.0187 3.0187 F
```

Values from the calculation:
Total magnetic moment: 0.00 μB/atom
Calculated volume: 55 Å³ per cell


Ordering by calculated energy gives the sequence <Q>, <P>, with the first entry being the most stable.


<P>
Compound: P2IrF
Source: Alexandria
Functional: PBE-GGA
Structure: relaxed

POSCAR file:
```
P2IrF
1.0
0.0000 2.9172 2.9172
2.9172 0.0000 2.9172
2.9172 2.9172 0.0000
P Ir F
2 1 1
Cartesian
1.4586 1.4586 1.4586 P
4.3757 4.3757 4.3757 P
0.0000 0.0000 0.0000 Ir
2.9172 2.9172 2.9172 F
```

Values from the calculation:
Total magnetic moment: 0.00 μB/atom
Calculated volume: 50 Å³ per cell


<Q>
Compound: P2IrF
Source: Alexandria
Functional: PBE-GGA
Structure: relaxed

POSCAR file:
```
P2IrF
1.0
-2.6742 2.6742 5.4340
2.6742 -2.6742 5.4340
2.6742 2.6742 -5.4340
P Ir F
4 2 2
Cartesian
4.0113 1.1551 -1.3585 P
1.1551 1.3371 1.3585 P
-1.3371 1.5191 4.0755 P
1.5191 1.3371 6.7924 P
0.0000 0.0000 0.0000 Ir
0.0000 2.6742 2.7170 Ir
2.6742 0.0000 2.7170 F
0.0000 0.0000 5.4340 F
```

Values from the calculation:
Total magnetic moment: 0.00 μB/atom
Calculated volume: 155 Å³ per cell


Ordering by calculated energy gives the sequence <P>, <Q>, with the first entry being the most stable.


<P>
Compound: PIrS2F
Source: Alexandria
Functional: PBE-GGA
Structure: relaxed

POSCAR file:
```
PIrS2F
1.0
4.6255 0.0000 0.0000
0.0000 4.6255 0.0000
0.0000 0.0000 3.6844
P Ir S F
1 1 2 1
Cartesian
0.0000 0.0000 0.0000 P
2.3128 2.3128 0.0000 Ir
0.0000 2.3128 1.8422 S
2.3128 0.0000 1.8422 S
0.0000 0.0000 1.8422 F
```

Values from the calculation:
Total magnetic moment: 0.00 μB/atom
Calculated volume: 79 Å³ per cell


<Q>
Compound: PIrS2F
Source: Alexandria
Functional: PBE-GGA
Structure: relaxed

POSCAR file:
```
PIrS2F
1.0
4.6727 0.0000 0.0000
0.0000 4.6727 0.0000
0.0000 0.0000 4.5768
P Ir S F
1 1 2 1
Cartesian
0.0000 0.0000 0.0000 P
0.0000 0.0000 2.2884 Ir
0.0000 2.3363 2.2884 S
2.3363 0.0000 2.2884 S
2.3363 2.3363 0.0000 F
```

Values from the calculation:
Total magnetic moment: 0.34 μB/atom
Calculated volume: 100 Å³ per cell


Ordering by calculated energy gives the sequence <Q>, <P>, with the first entry being the most stable.


<P>
Compound: ScP2IrF
Source: Alexandria
Functional: PBE-GGA
Structure: relaxed

POSCAR file:
```
ScP2IrF
1.0
4.4319 0.0000 0.0000
0.0000 4.4319 0.0000
0.0000 0.0000 5.3918
Sc P Ir F
1 2 1 1
Cartesian
0.0000 0.0000 0.0000 Sc
0.0000 2.2160 2.6959 P
2.2160 0.0000 2.6959 P
0.0000 0.0000 2.6959 Ir
2.2160 2.2160 0.0000 F
```

Values from the calculation:
Total magnetic moment: 0.06 μB/atom
Calculated volume: 106 Å³ per cell


<Q>
Compound: ScP2IrF
Source: Alexandria
Functional: PBE-GGA
Structure: relaxed

POSCAR file:
```
ScP2IrF
1.0
4.9639 0.0000 0.0000
0.0000 4.9639 0.0000
0.0000 0.0000 3.7428
Sc P Ir F
1 2 1 1
Cartesian
0.0000 0.0000 0.0000 Sc
0.0000 2.4820 0.0000 P
2.4820 0.0000 0.0000 P
2.4820 2.4820 1.8714 Ir
0.0000 0.0000 1.8714 F
```

Values from the calculation:
Total magnetic moment: 0.00 μB/atom
Calculated volume: 92 Å³ per cell


Ordering by calculated energy gives the sequence <P>, <Q>, with the first entry being the most stable.


<P>
Compound: IrPb2F
Source: Alexandria
Functional: PBE-GGA
Structure: relaxed

POSCAR file:
```
IrPb2F
1.0
-2.9597 2.9597 6.3326
2.9597 -2.9597 6.3326
2.9597 2.9597 -6.3326
Ir Pb F
2 4 2
Cartesian
0.0000 0.0000 0.0000 Ir
0.0000 2.9597 3.1663 Ir
1.4798 -1.4263 4.7495 Pb
1.5334 1.4798 1.5832 Pb
1.4798 4.3859 -1.5832 Pb
1.4263 1.4798 7.9158 Pb
2.9597 0.0000 3.1663 F
0.0000 0.0000 6.3326 F
```

Values from the calculation:
Total magnetic moment: 0.00 μB/atom
Calculated volume: 222 Å³ per cell


<Q>
Compound: IrPb2F
Source: Alexandria
Functional: PBE-GGA
Structure: relaxed

POSCAR file:
```
IrPb2F
1.0
0.0000 3.3952 3.3952
3.3952 0.0000 3.3952
3.3952 3.3952 0.0000
Ir Pb F
1 2 1
Cartesian
0.0000 0.0000 0.0000 Ir
1.6976 1.6976 1.6976 Pb
5.0927 5.0927 5.0927 Pb
3.3952 3.3952 3.3952 F
```

Values from the calculation:
Total magnetic moment: 0.00 μB/atom
Calculated volume: 78 Å³ per cell


Ordering by calculated energy gives the sequence <Q>, <P>, with the first entry being the most stable.